10
Lattice="3.9603 0.0000 0.0000 0.0000 3.9603 0.0000 0.0000 0.0000 21.6512" Properties=species:S:1:pos:R:3 comment="CaAc4Tl5 | Alexandria via LeMat-Bulk | GGA-PBE | relaxed" space_group=P4/mmm magnetic_moment_mub_per_cell=0.00 n_ef_per_ev_atom=0.8004 formation_enthalpy_0k_ev_per_atom=-0.38 pbc="T T T"
Ca 0.0000 0.0000 0.0000
Ac 0.0000 0.0000 4.0986
Ac 0.0000 0.0000 8.5762
Ac 0.0000 0.0000 13.0750
Ac 0.0000 0.0000 17.5526
Tl 1.9802 1.9802 1.8648
Tl 1.9802 1.9802 6.3254
Tl 1.9802 1.9802 10.8256
Tl 1.9802 1.9802 15.3258
Tl 1.9802 1.9802 19.7865